DFT (PBE with a Hubbard U) results for an optimized crystal structure of PmUCoO6.

Computed properties:
E in eV per formula unit: -71.8
Space group: P-31c
Spin magnetization in μB/f.u.: 3.9

a = 5.720 Å, b = 5.720 Å, c = 8.560 Å
α = 90.00°, β = 90.00°, γ = 120.00°
Site moments in Bohr magnetons follow the coordinates.
Positions (direct):
O (0.037, 0.697, 0.878)  0.10
O (0.697, 0.660, 0.122)  0.10
O (0.697, 0.037, 0.378)  0.10
O (0.660, 0.963, 0.878)  0.10
O (0.963, 0.303, 0.122)  0.10
O (0.963, 0.660, 0.378)  0.10
O (0.660, 0.697, 0.622)  0.10
O (0.340, 0.037, 0.122)  0.10
O (0.340, 0.303, 0.378)  0.10
O (0.303, 0.340, 0.878)  0.10
O (0.037, 0.340, 0.622)  0.10
O (0.303, 0.963, 0.622)  0.10
Pm (0.333, 0.667, 0.250)  0.02
Pm (0.667, 0.333, 0.750)  0.02
Co (0.000, 0.000, 0.500)  3.06
Co (0.000, 0.000, 0.000)  3.06
U (0.667, 0.333, 0.250)  0.14
U (0.333, 0.667, 0.750)  0.14